Record 1
This record from Alexandria via LeMat-Bulk describes a geometry-optimized LaY2BeC structure. The functional is PBE.

Cell: 5.588 5.588 4.568 Å, 90.00 90.00 90.00°
Space group P4/mmm (No. 123)
Symmetry-distinct sites (fractional):
La (0.000, 0.000, 0.000) [1 per cell]
Y (0.000, 0.500, 0.000) [2 per cell]
Be (0.000, 0.000, 0.500) [1 per cell]
C (0.500, 0.500, 0.500) [1 per cell]

Values from the calculation:
**Calculated formation energy**: 2332 meV/atom
**Crystal system**: tetragonal
**Calculated volume**: 143 Å³/cell
**N(E_F)**: 4.7 states/eV/f.u.

***

Record 2
This record from Alexandria via LeMat-Bulk describes a geometry-optimized LaGe2RhS structure. The functional is PBE.

Cell: 7.756 4.268 6.803 Å, 90.00 102.80 90.00°
Space group Cm (No. 8)
Symmetry-distinct sites (fractional):
La (0.000, 0.000, 0.000) [2 per cell]
Ge (0.229, 0.500, 0.305) [2 per cell]
Ge (0.422, 0.000, 0.494) [2 per cell]
Rh (0.081, 0.000, 0.462) [2 per cell]
S (0.287, 0.000, 0.811) [2 per cell]

Values from the calculation:
**Crystal system**: monoclinic
**Raw formation energy**: -835 meV/atom
**Calculated volume**: 220 Å³/cell
**N(E_F)**: 1.4 states/eV/f.u.
**Polymorph energy (0 for the lowest one)**: 28 meV/atom

***

Record 3
This record from Alexandria via LeMat-Bulk describes a geometry-optimized LaBeS2Cl structure. The functional is PBE.

Cell: 5.572 5.572 5.457 Å, 90.00 90.00 90.00°
Space group P4/mmm (No. 123)
Symmetry-distinct sites (fractional):
La (0.000, 0.000, 0.000) [1 per cell]
Be (0.500, 0.500, 0.500) [1 per cell]
S (0.000, 0.500, 0.000) [2 per cell]
Cl (0.000, 0.000, 0.500) [1 per cell]

Values from the calculation:
**Crystal system**: tetragonal
**Raw formation energy**: -186 meV/atom
**Calculated volume**: 169 Å³/cell
**N(E_F)**: 5.3 states/eV/f.u.
**Polymorph energy (0 for the lowest one)**: 1163 meV/atom

***

Record 4
This record from Alexandria via LeMat-Bulk describes a geometry-optimized Ca2ZnCSe structure. The functional is PBE.

Cell: 5.143 5.143 3.842 Å, 90.00 90.00 90.00°
Space group P4/mmm (No. 123)
Symmetry-distinct sites (fractional):
Ca (0.000, 0.500, 0.000) [2 per cell]
Zn (0.000, 0.000, 0.500) [1 per cell]
C (0.000, 0.000, 0.000) [1 per cell]
Se (0.500, 0.500, 0.500) [1 per cell]

Values from the calculation:
**Crystal system**: tetragonal
**Raw formation energy**: -628 meV/atom
**Calculated volume**: 102 Å³/cell
**N(E_F)**: 0.3 states/eV/f.u.
**Polymorph energy (0 for the lowest one)**: 0 meV/atom

***

Record 5
This record from Alexandria via LeMat-Bulk describes a geometry-optimized Y2ReAs structure. The functional is PBE.

Cell: 3.6880 3.6880 23.6966 Å, 90.00 90.00 120.00°
Space group R-3m (No. 166, hexagonal axes)
Symmetry-distinct sites (fractional):
Y (0.0000, 0.0000, 0.2471) [6 per cell]
Re (0.0000, 0.0000, 0.0000) [3 per cell]
As (0.0000, 0.0000, 0.5000) [3 per cell]

Values from the calculation:
**Calculated formation energy**: -120 meV/atom
**Crystal system**: trigonal
**Calculated volume**: 279 Å³/cell
**N(E_F)**: 1.9 states/eV/f.u.

***

Record 6
This record from Alexandria via LeMat-Bulk describes a geometry-optimized La15NdEr4 structure. The functional is PBE.

Cell: 5.207 5.207 26.062 Å, 90.00 90.00 90.00°
Space group P4/mmm (No. 123)
Symmetry-distinct sites (fractional):
La (0.000, 0.000, 0.000) [1 per cell]
La (0.000, 0.000, 0.201) [2 per cell]
La (0.000, 0.000, 0.400) [2 per cell]
La (0.000, 0.500, 0.102) [4 per cell]
La (0.000, 0.500, 0.301) [4 per cell]
La (0.000, 0.500, 0.500) [2 per cell]
Nd (0.500, 0.500, 0.000) [1 per cell]
Er (0.500, 0.500, 0.201) [2 per cell]
Er (0.500, 0.500, 0.400) [2 per cell]

Values from the calculation:
**Calculated formation energy**: 8 meV/atom
**Crystal system**: tetragonal
**Calculated volume**: 707 Å³/cell
**N(E_F)**: 26.9 states/eV/f.u.

***

Record 7
This record from Alexandria via LeMat-Bulk describes a geometry-optimized PaIn2Ag structure. The functional is PBE.

Cell: 3.2131 3.2131 30.8341 Å, 90.00 90.00 120.00°
Space group R3m (No. 160, hexagonal axes)
Symmetry-distinct sites (fractional):
Pa (0.0000, 0.0000, 0.0000) [3 per cell]
In (0.0000, 0.0000, 0.5758) [3 per cell]
In (0.0000, 0.0000, 0.7567) [3 per cell]
Ag (0.0000, 0.0000, 0.1657) [3 per cell]

Values from the calculation:
**Calculated formation energy**: -18 meV/atom
**Crystal system**: trigonal
**Calculated volume**: 276 Å³/cell
**N(E_F)**: 4.1 states/eV/f.u.
**Polymorph energy (0 for the lowest one)**: 0 meV/atom

***

Record 8
This record from Alexandria via LeMat-Bulk describes a geometry-optimized Ce6InSn2 structure. The functional is PBE.

Cell: 9.0849 9.0849 3.2035 Å, 90.00 90.00 120.00°
Space group P6/mmm (No. 191)
Symmetry-distinct sites (fractional):
Ce (0.0000, 0.3373, 0.0000) [6 per cell]
In (0.0000, 0.0000, 0.5000) [1 per cell]
Sn (0.3333, 0.6667, 0.5000) [2 per cell]

Values from the calculation:
**Calculated formation energy**: -306 meV/atom
**Crystal system**: hexagonal
**Calculated volume**: 229 Å³/cell
**N(E_F)**: 24.8 states/eV/f.u.
**Polymorph energy (0 for the lowest one)**: 0 meV/atom